Entry 1:
A geometry-optimized TaAlCo2 structure, computed with GGA-PBE.

Cell lengths 3.9846, 3.9846, 7.7477 Å; angles 90.00, 90.00, 120.00 degrees
Element x y z (fractional)
Ta  0.3333  0.6667  0.2500
Ta  0.6667  0.3333  0.7500
Al  0.0000  0.0000  0.0000
Al  0.0000  0.0000  0.5000
Co  0.3333  0.6667  0.5952
Co  0.3333  0.6667  0.9048
Co  0.6667  0.3333  0.0952
Co  0.6667  0.3333  0.4048

Properties
**E_tot**: -7.8243 eV/atom

Entry 2:
A geometry-optimized TaAlCo2 structure, computed with GGA-PBE.

Cell lengths 4.2331, 4.2331, 2.9122 Å; angles 90.00, 90.00, 91.83 degrees
Element x y z (fractional)
Ta  0.0000  0.0000  0.0000
Al  0.5000  0.5000  0.0000
Co  0.0000  0.5000  0.5000
Co  0.5000  0.0000  0.5000

Properties
**E_tot**: -7.7974 eV/atom

Q: Look up the E_tot of the second one.
A: -7.7974 eV/atom

Q: Which value of E_tot does entry 2 give?
A: -7.7974 eV/atom

Q: Which formula does entry 2 have?
A: TaAlCo2